Record 1
This record from Alexandria via LeMat-Bulk describes an optimized crystal structure of Gd4Ge3S12. The functional is GGA-PBEsol.

Magnetization ... 27.97 Bohr magnetons per cell
Formation energy (no corrections) ... -1.288 eV per atom

Cell: 11.236 11.236 11.236 Å, 114.93 114.93 114.93°
Fractional coordinates of all 38 atoms:
Gd: 0.000 0.000 0.000
Gd: 0.222 0.444 0.980
Gd: 0.444 0.980 0.222
Gd: 0.480 0.944 0.722
Gd: 0.500 0.500 0.500
Gd: 0.722 0.480 0.944
Gd: 0.944 0.722 0.480
Gd: 0.980 0.222 0.444
Ge: 0.148 0.973 0.359
Ge: 0.359 0.148 0.973
Ge: 0.473 0.648 0.859
Ge: 0.648 0.859 0.473
Ge: 0.859 0.473 0.648
Ge: 0.973 0.359 0.148
S: 0.089 0.795 0.109
S: 0.094 0.644 0.358
S: 0.109 0.089 0.795
S: 0.144 0.594 0.858
S: 0.186 0.193 0.373
S: 0.193 0.373 0.186
S: 0.279 0.881 0.810
S: 0.295 0.589 0.609
S: 0.310 0.381 0.779
S: 0.358 0.094 0.644
S: 0.373 0.186 0.193
S: 0.381 0.779 0.310
S: 0.589 0.609 0.295
S: 0.594 0.858 0.144
S: 0.609 0.295 0.589
S: 0.644 0.358 0.094
S: 0.686 0.873 0.693
S: 0.693 0.686 0.873
S: 0.779 0.310 0.381
S: 0.795 0.109 0.089
S: 0.810 0.279 0.881
S: 0.858 0.144 0.594
S: 0.873 0.693 0.686
S: 0.881 0.810 0.279

***

Record 2
This record from Alexandria via LeMat-Bulk describes an optimized crystal structure of GdSnGe. The functional is GGA-PBEsol.

ΔE_f ... -0.700 eV per atom
Magnetization ... 14.07 Bohr magnetons per cell

Cell: 8.358 8.358 4.028 Å, 90.00 90.00 150.33°
Fractional coordinates of all 6 atoms:
Gd: 0.094 0.906 0.750
Gd: 0.906 0.094 0.250
Sn: 0.256 0.744 0.250
Sn: 0.744 0.256 0.750
Ge: 0.447 0.553 0.750
Ge: 0.553 0.447 0.250

***

Record 3
This record from Alexandria via LeMat-Bulk describes an optimized crystal structure of Gd3Zn5Ge. The functional is GGA-PBEsol.

ΔE_f ... -0.416 eV per atom
Magnetization ... 22.14 Bohr magnetons per cell

Cell: 7.063 7.063 4.064 Å, 90.00 90.00 120.00°
Fractional coordinates of all 9 atoms:
Gd: 0.000 0.585 0.000
Gd: 0.415 0.415 0.000
Gd: 0.585 0.000 0.000
Zn: 0.000 0.249 0.500
Zn: 0.249 0.000 0.500
Zn: 0.333 0.667 0.500
Zn: 0.667 0.333 0.500
Zn: 0.751 0.751 0.500
Ge: 0.000 0.000 0.000

***

Record 4
This record from Alexandria via LeMat-Bulk describes an optimized crystal structure of GdZnGe. The functional is GGA-PBEsol.

ΔE_f ... -0.692 eV per atom
Magnetization ... 14.59 Bohr magnetons per cell

Cell: 4.154 4.154 7.996 Å, 90.00 90.00 120.00°
Fractional coordinates of all 6 atoms:
Gd: 0.000 0.000 0.000
Gd: 0.000 0.000 0.500
Zn: 0.333 0.667 0.250
Zn: 0.667 0.333 0.750
Ge: 0.333 0.667 0.750
Ge: 0.667 0.333 0.250